[1]
A plane-wave DFT calculation with PBE was carried out for a geometry-optimized Sm2NpScO8 structure.

Cell: 3.963 5.433 7.379 Å, 90.46 89.92 96.21°
Element x y z (fractional)
Sm (0.501, 0.497, 0.739)
Sm (0.499, 0.503, 0.261)
Np (0.000, 0.000, 0.000)
Sc (0.000, 0.000, 0.500)
O (0.046, 0.772, 0.230)
O (0.560, 0.777, 0.001)
O (0.953, 0.230, 0.225)
O (0.954, 0.228, 0.770)
O (0.440, 0.223, 0.999)
O (0.047, 0.770, 0.775)
O (0.562, 0.762, 0.503)
O (0.438, 0.238, 0.497)

Properties
As for the uncorrected formation energy: -3.07 eV per atom. Its uncorrected energy is -8.77 eV/atom. Its symmetry is No. 2.

***

[2]
A plane-wave DFT calculation with PBE was carried out for a geometry-optimized NpScSnO6 structure.

Cell: 5.467 5.467 9.083 Å, 90.00 90.00 120.00°
Element x y z (fractional)
Np (0.667, 0.333, 0.250)
Np (0.333, 0.667, 0.750)
Sc (0.333, 0.667, 0.250)
Sc (0.667, 0.333, 0.750)
Sn (0.000, 0.000, 0.000)
Sn (0.000, 0.000, 0.500)
O (0.670, 0.670, 0.129)
O (0.000, 0.330, 0.129)
O (0.330, 0.000, 0.629)
O (0.000, 0.670, 0.871)
O (0.330, 0.330, 0.371)
O (0.000, 0.670, 0.371)
O (0.670, 0.000, 0.871)
O (0.670, 0.000, 0.371)
O (0.000, 0.330, 0.629)
O (0.330, 0.000, 0.129)
O (0.670, 0.670, 0.629)
O (0.330, 0.330, 0.871)

Properties
As for the uncorrected formation energy: -2.53 eV per atom. Its uncorrected energy is -8.42 eV/atom. Its symmetry is No. 163.

***

[3]
A plane-wave DFT calculation with PBE was carried out for a geometry-optimized SrNpScO6 structure.

Cell: 5.587 5.587 10.493 Å, 90.00 90.00 120.00°
Element x y z (fractional)
Sr (0.000, 0.000, 0.000)
Sr (0.000, 0.000, 0.500)
Np (0.667, 0.333, 0.250)
Np (0.333, 0.667, 0.750)
Sc (0.333, 0.667, 0.250)
Sc (0.667, 0.333, 0.750)
O (0.635, 0.623, 0.146)
O (0.987, 0.365, 0.146)
O (0.365, 0.987, 0.646)
O (0.013, 0.635, 0.854)
O (0.377, 0.365, 0.354)
O (0.987, 0.623, 0.354)
O (0.623, 0.987, 0.854)
O (0.635, 0.013, 0.354)
O (0.013, 0.377, 0.646)
O (0.377, 0.013, 0.146)
O (0.623, 0.635, 0.646)
O (0.365, 0.377, 0.854)

Properties
As for the uncorrected formation energy: -3.00 eV per atom. Its uncorrected energy is -8.64 eV/atom. Its symmetry is No. 163.

***

[4]
A plane-wave DFT calculation with PBE was carried out for a geometry-optimized SrNp2ScO8 structure.

Cell: 5.026 5.028 7.026 Å, 90.00 90.00 87.19°
Element x y z (fractional)
Sr (0.000, 0.000, 0.500)
Np (0.500, 0.500, 0.756)
Np (0.500, 0.500, 0.244)
Sc (0.000, 0.000, 0.000)
O (0.211, 0.789, 0.221)
O (0.693, 0.693, 0.000)
O (0.789, 0.211, 0.221)
O (0.789, 0.211, 0.779)
O (0.307, 0.307, 0.000)
O (0.211, 0.789, 0.779)
O (0.669, 0.669, 0.500)
O (0.331, 0.331, 0.500)

Properties
As for the uncorrected formation energy: -3.02 eV per atom. Its uncorrected energy is -9.15 eV/atom. Its symmetry is No. 65.

***

[5]
A plane-wave DFT calculation with PBE was carried out for a geometry-optimized NpScTaO6 structure.

Cell: 5.344 5.344 9.632 Å, 90.00 90.00 120.00°
Element x y z (fractional)
Np (0.000, 0.000, 0.000)
Np (0.000, 0.000, 0.500)
Sc (0.333, 0.667, 0.250)
Sc (0.667, 0.333, 0.750)
Ta (0.667, 0.333, 0.250)
Ta (0.333, 0.667, 0.750)
O (0.661, 0.645, 0.136)
O (0.984, 0.339, 0.136)
O (0.339, 0.984, 0.636)
O (0.016, 0.661, 0.864)
O (0.355, 0.339, 0.364)
O (0.984, 0.645, 0.364)
O (0.645, 0.984, 0.864)
O (0.661, 0.016, 0.364)
O (0.016, 0.355, 0.636)
O (0.355, 0.016, 0.136)
O (0.645, 0.661, 0.636)
O (0.339, 0.355, 0.864)

Properties
As for the uncorrected formation energy: -3.07 eV per atom. Its uncorrected energy is -9.83 eV/atom. Its symmetry is No. 163.

***

[6]
A plane-wave DFT calculation with PBE was carried out for a geometry-optimized TbNpScO6 structure.

Cell: 5.528 5.528 9.630 Å, 90.00 90.00 120.00°
Element x y z (fractional)
Tb (0.000, 0.000, 0.000)
Tb (0.000, 0.000, 0.500)
Np (0.667, 0.333, 0.250)
Np (0.333, 0.667, 0.750)
Sc (0.333, 0.667, 0.250)
Sc (0.667, 0.333, 0.750)
O (0.654, 0.646, 0.137)
O (0.993, 0.346, 0.137)
O (0.346, 0.993, 0.637)
O (0.007, 0.654, 0.863)
O (0.354, 0.346, 0.363)
O (0.993, 0.646, 0.363)
O (0.646, 0.993, 0.863)
O (0.654, 0.007, 0.363)
O (0.007, 0.354, 0.637)
O (0.354, 0.007, 0.137)
O (0.646, 0.654, 0.637)
O (0.346, 0.354, 0.863)

Properties
As for the uncorrected formation energy: -3.22 eV per atom. Its uncorrected energy is -9.18 eV/atom. Its symmetry is No. 163.

***

[7]
A plane-wave DFT calculation with PBE was carried out for a geometry-optimized TbNpSc2O8 structure.

Cell: 4.914 4.913 6.821 Å, 90.00 90.00 89.60°
Element x y z (fractional)
Tb (0.000, 0.000, 0.500)
Np (0.000, 0.000, 0.000)
Sc (0.500, 0.500, 0.731)
Sc (0.500, 0.500, 0.269)
O (0.195, 0.805, 0.226)
O (0.714, 0.714, 0.000)
O (0.805, 0.195, 0.226)
O (0.805, 0.195, 0.774)
O (0.286, 0.286, 0.000)
O (0.195, 0.805, 0.774)
O (0.682, 0.682, 0.500)
O (0.318, 0.318, 0.500)

Properties
As for the uncorrected formation energy: -3.14 eV per atom. Its uncorrected energy is -8.96 eV/atom. Its symmetry is No. 65.

***

[8]
A plane-wave DFT calculation with PBE was carried out for a geometry-optimized NpScTeO6 structure.

Cell: 5.546 5.546 9.240 Å, 90.00 90.00 120.00°
Element x y z (fractional)
Np (0.667, 0.333, 0.250)
Np (0.333, 0.667, 0.750)
Sc (0.333, 0.667, 0.250)
Sc (0.667, 0.333, 0.750)
Te (0.000, 0.000, 0.000)
Te (0.000, 0.000, 0.500)
O (0.662, 0.663, 0.131)
O (0.001, 0.338, 0.131)
O (0.338, 0.001, 0.631)
O (0.999, 0.662, 0.869)
O (0.337, 0.338, 0.369)
O (0.001, 0.663, 0.369)
O (0.663, 0.001, 0.869)
O (0.662, 0.999, 0.369)
O (0.999, 0.337, 0.631)
O (0.337, 0.999, 0.131)
O (0.663, 0.662, 0.631)
O (0.338, 0.337, 0.869)

Properties
As for the uncorrected formation energy: -2.31 eV per atom. Its uncorrected energy is -8.11 eV/atom. Its symmetry is No. 163.

***

Question: The highest uncorrected energy belongs to which entry?
Answer: NpScTeO6

***

Question: What is the formula in the fourth record?
Answer: SrNp2ScO8